No. 1
First-principles (PBE-GGA) data for a relaxed DyGeBRu2 crystal, as listed in Alexandria.

Output
Energy relative to the elements, kJ per mole of atoms: -49
Mass density, g/cm3: 9.16
Spin magnetization, μB/atom: 0.000

```
data_DyGeBRu2
_cell_length_a 3.988
_cell_length_b 11.149
_cell_length_c 7.310
_cell_angle_alpha 90.00
_cell_angle_beta 90.00
_cell_angle_gamma 90.00
_space_group_name_H-M_alt 'C m c m'
_space_group_IT_number 63
_space_group_name_Hall '-C 2c 2'
loop_
_atom_site_label
_atom_site_fract_x
_atom_site_fract_y
_atom_site_fract_z
Dy1 0.000 0.048 0.250
Ge1 0.000 0.231 0.750
B1 0.000 0.500 0.000
Ru1 0.000 0.331 0.060
```

=====

No. 2
First-principles (PBE-GGA) data for a relaxed Dy2Tc2Ge2B crystal, as listed in Alexandria.

Output
Energy relative to the elements, kJ per mole of atoms: -58
Mass density, g/cm3: 8.85
Spin magnetization, μB/atom: 0.000

```
data_Dy2Tc2Ge2B
_cell_length_a 10.905
_cell_length_b 4.051
_cell_length_c 7.014
_cell_angle_alpha 90.00
_cell_angle_beta 124.87
_cell_angle_gamma 90.00
_space_group_name_H-M_alt 'C 1 2/m 1'
_space_group_IT_number 12
loop_
_space_group_symop_operation_xyz
'x,y,z'
'-x,-y,-z'
'-x,y,-z'
'x,-y,z'
'x+1/2,y+1/2,z'
'-x+1/2,-y+1/2,-z'
'-x+1/2,y+1/2,-z'
'x+1/2,-y+1/2,z'
loop_
_atom_site_label
_atom_site_fract_x
_atom_site_fract_y
_atom_site_fract_z
Dy1 0.070 0.000 0.297
Tc1 0.211 0.500 0.085
Ge1 0.143 0.500 0.673
B1 0.000 0.500 0.000
```

=====

No. 3
First-principles (PBE-GGA) data for a relaxed DyBH crystal, as listed in Alexandria.

Output
Offset from the most stable computed form, meV/atom: 310.5
Mass density, g/cm3: 7.40
Spin magnetization, μB/atom: 0.000

```
data_DyBH
_cell_length_a 6.839
_cell_length_b 6.878
_cell_length_c 6.652
_cell_angle_alpha 90.00
_cell_angle_beta 90.00
_cell_angle_gamma 90.00
_space_group_name_H-M_alt 'C m c e'
_space_group_IT_number 64
_space_group_name_Hall '-C 2ac 2'
loop_
_atom_site_label
_atom_site_fract_x
_atom_site_fract_y
_atom_site_fract_z
Dy1 0.250 0.148 0.250
B1 0.000 0.098 0.575
H1 0.000 0.233 0.995
```

=====

No. 4
First-principles (PBE-GGA) data for a relaxed DyB2H8 crystal, as listed in Alexandria.

Output
Offset from the most stable computed form, meV/atom: 0.0
Mass density, g/cm3: 2.97
Spin magnetization, μB/atom: 0.046

```
data_DyB2H8
_cell_length_a 13.601
_cell_length_b 4.167
_cell_length_c 3.880
_cell_angle_alpha 90.00
_cell_angle_beta 102.02
_cell_angle_gamma 90.00
_space_group_name_H-M_alt 'C 1 2/m 1'
_space_group_IT_number 12
loop_
_space_group_symop_operation_xyz
'x,y,z'
'-x,-y,-z'
'-x,y,-z'
'x,-y,z'
'x+1/2,y+1/2,z'
'-x+1/2,-y+1/2,-z'
'-x+1/2,y+1/2,-z'
'x+1/2,-y+1/2,z'
loop_
_atom_site_label
_atom_site_fract_x
_atom_site_fract_y
_atom_site_fract_z
Dy1 0.000 0.000 0.000
B1 0.133 0.000 0.583
H1 0.079 0.244 0.576
H2 0.167 0.000 0.318
H3 0.200 0.000 0.841
```

=====

No. 5
First-principles (PBE-GGA) data for a relaxed DyB2H6 crystal, as listed in Alexandria.

Output
VASP energy, eV per formula unit: -26.82
Mass density, g/cm3: 4.84
Spin magnetization, μB/atom: 0.000

```
data_DyB2H6
_cell_length_a 6.391
_cell_length_b 6.391
_cell_length_c 6.391
_cell_angle_alpha 90.00
_cell_angle_beta 90.00
_cell_angle_gamma 90.00
_space_group_name_H-M_alt 'F m -3 m'
_space_group_IT_number 225
_space_group_name_Hall '-F 4 2 3'
loop_
_atom_site_label
_atom_site_fract_x
_atom_site_fract_y
_atom_site_fract_z
Dy1 0.000 0.000 0.000
B1 0.250 0.250 0.250
H1 0.000 0.000 0.354
```

=====

No. 6
First-principles (PBE-GGA) data for a relaxed DyBH crystal, as listed in Alexandria.

Output
Offset from the most stable computed form, meV/atom: 0.0
Mass density, g/cm3: 7.91
Spin magnetization, μB/atom: 0.000

```
data_DyBH
_cell_length_a 3.654
_cell_length_b 3.262
_cell_length_c 6.404
_cell_angle_alpha 90.00
_cell_angle_beta 106.54
_cell_angle_gamma 90.00
_space_group_name_H-M_alt 'P 1 21/m 1'
_space_group_IT_number 11
loop_
_space_group_symop_operation_xyz
'x,y,z'
'-x,-y,-z'
'-x,y+1/2,-z'
'x,-y+1/2,z'
loop_
_atom_site_label
_atom_site_fract_x
_atom_site_fract_y
_atom_site_fract_z
Dy1 0.135 0.250 0.269
B1 0.479 0.250 0.956
H1 0.255 0.750 0.510
```

=====

No. 7
First-principles (PBE-GGA) data for a relaxed DyB2H8 crystal, as listed in Alexandria.

Output
Offset from the most stable computed form, meV/atom: 27.6
Mass density, g/cm3: 3.77
Spin magnetization, μB/atom: 0.000

```
data_DyB2H8
_cell_length_a 8.823
_cell_length_b 3.950
_cell_length_c 5.324
_cell_angle_alpha 90.00
_cell_angle_beta 114.14
_cell_angle_gamma 90.00
_space_group_name_H-M_alt 'C 1 2/m 1'
_space_group_IT_number 12
loop_
_space_group_symop_operation_xyz
'x,y,z'
'-x,-y,-z'
'-x,y,-z'
'x,-y,z'
'x+1/2,y+1/2,z'
'-x+1/2,-y+1/2,-z'
'-x+1/2,y+1/2,-z'
'x+1/2,-y+1/2,z'
loop_
_atom_site_label
_atom_site_fract_x
_atom_site_fract_y
_atom_site_fract_z
Dy1 0.000 0.000 0.000
B1 0.191 0.000 0.703
H1 0.136 0.258 0.763
H2 0.150 0.500 0.175
H3 0.160 0.000 0.459
```

=====

No. 8
First-principles (PBE-GGA) data for a relaxed DyBH2O4 crystal, as listed in Alexandria.

Output
VASP energy, eV per formula unit: -54.87
Mass density, g/cm3: 6.21
Spin magnetization, μB/atom: 0.000

```
data_DyBH2O4
_cell_length_a 4.014
_cell_length_b 5.377
_cell_length_c 5.931
_cell_angle_alpha 90.00
_cell_angle_beta 90.00
_cell_angle_gamma 90.00
_space_group_name_H-M_alt 'I 2 2 2'
_space_group_IT_number 23
loop_
_space_group_symop_operation_xyz
'x,y,z'
'-x,-y,z'
'x,-y,-z'
'-x,y,-z'
'x+1/2,y+1/2,z+1/2'
'-x+1/2,-y+1/2,z+1/2'
'x+1/2,-y+1/2,-z+1/2'
'-x+1/2,y+1/2,-z+1/2'
loop_
_atom_site_label
_atom_site_fract_x
_atom_site_fract_y
_atom_site_fract_z
Dy1 0.000 0.000 0.000
B1 0.000 0.000 0.500
H1 0.000 0.500 0.152
O1 0.240 0.136 0.349
```

=====

No. 9
First-principles (PBE-GGA) data for a relaxed RbDyB2H8 crystal, as listed in Alexandria.

Output
VASP energy, eV per formula unit: -48.87
Mass density, g/cm3: 3.91
Spin magnetization, μB/atom: 0.000

```
data_RbDyB2H8
_cell_length_a 4.0776
_cell_length_b 4.0776
_cell_length_c 24.5578
_cell_angle_alpha 90.00
_cell_angle_beta 90.00
_cell_angle_gamma 120.00
_space_group_name_H-M_alt 'R -3 m'
_space_group_IT_number 166
_space_group_name_Hall '-R 3 2"'
loop_
_atom_site_label
_atom_site_fract_x
_atom_site_fract_y
_atom_site_fract_z
Rb1 0.0000 0.0000 0.0000
Dy1 0.0000 0.0000 0.5000
B1 0.0000 0.0000 0.2361
H1 0.0000 0.0000 0.2861
H2 0.0008 0.5004 0.4481
```

=====

No. 10
First-principles (PBE-GGA) data for a relaxed Dy2BHRh6 crystal, as listed in Alexandria.

Output
VASP energy, eV per formula unit: -70.47
Mass density, g/cm3: 11.20
Spin magnetization, μB/atom: 0.000

```
data_Dy2BHRh6
_cell_length_a 5.858
_cell_length_b 5.858
_cell_length_c 8.246
_cell_angle_alpha 90.00
_cell_angle_beta 90.00
_cell_angle_gamma 90.00
_space_group_name_H-M_alt 'I 4/m m m'
_space_group_IT_number 139
_space_group_name_Hall '-I 4 2'
loop_
_atom_site_label
_atom_site_fract_x
_atom_site_fract_y
_atom_site_fract_z
Dy1 0.000 0.500 0.250
B1 0.000 0.000 0.000
H1 0.000 0.000 0.500
Rh1 0.000 0.000 0.255
Rh2 0.245 0.245 0.500
```

=====

No. 11
First-principles (PBE-GGA) data for a relaxed Dy2HfB2Rh5 crystal, as listed in Alexandria.

Output
Energy relative to the elements, kJ per mole of atoms: -82
Mass density, g/cm3: 11.39
Spin magnetization, μB/atom: 0.000

```
data_Dy2HfB2Rh5
_cell_length_a 9.657
_cell_length_b 9.657
_cell_length_c 3.251
_cell_angle_alpha 90.00
_cell_angle_beta 90.00
_cell_angle_gamma 90.00
_space_group_name_H-M_alt 'P 4/m b m'
_space_group_IT_number 127
_space_group_name_Hall '-P 4 2ab'
loop_
_atom_site_label
_atom_site_fract_x
_atom_site_fract_y
_atom_site_fract_z
Dy1 0.175 0.325 0.000
Hf1 0.000 0.000 0.000
B1 0.120 0.620 0.000
Rh1 0.000 0.500 0.500
Rh2 0.071 0.776 0.500
```

=====

No. 12
First-principles (PBE-GGA) data for a relaxed Dy4Hg2B crystal, as listed in Alexandria.

Output
Energy relative to the elements, kJ per mole of atoms: -19
Mass density, g/cm3: 9.45
Spin magnetization, μB/atom: 0.000

```
data_Dy4Hg2B
_cell_length_a 4.980
_cell_length_b 4.980
_cell_length_c 15.049
_cell_angle_alpha 90.00
_cell_angle_beta 90.00
_cell_angle_gamma 90.00
_space_group_name_H-M_alt 'I 4/m m m'
_space_group_IT_number 139
_space_group_name_Hall '-I 4 2'
loop_
_atom_site_label
_atom_site_fract_x
_atom_site_fract_y
_atom_site_fract_z
Dy1 0.000 0.000 0.173
Dy2 0.000 0.500 0.000
Hg1 0.000 0.000 0.370
B1 0.000 0.000 0.000
```